[1]
This record from the Alexandria database describes Pr2BiPd9 after structural relaxation. The functional is GGA-PBE.

calculated total energy: -5.481 eV per atom
offset from the most stable computed form: 108.2 meV per atom
E_form: -0.467 eV per atom
space group: No. 166

abc: 9.5701 9.5701 9.5701
angles: 33.06 33.06 33.06
Element x y z (fractional)
Pr 0.1340 0.1340 0.1340
Pr 0.8660 0.8660 0.8660
Bi 0.0000 0.0000 0.0000
Pd 0.0830 0.5868 0.5868
Pd 0.3328 0.3328 0.3328
Pd 0.4132 0.4132 0.9170
Pd 0.4132 0.9170 0.4132
Pd 0.5000 0.5000 0.5000
Pd 0.5868 0.0830 0.5868
Pd 0.5868 0.5868 0.0830
Pd 0.6672 0.6672 0.6672
Pd 0.9170 0.4132 0.4132

=====

[2]
This record from the Alexandria database describes RuI2Br after structural relaxation. The functional is GGA-PBE.

formation energy from raw total energies: 0.319 eV per atom
calculated total energy: -3.193 eV per atom
offset from the most stable computed form: 448.8 meV per atom
space group: No. 122

abc: 7.2088 7.2088 7.2088
angles: 116.80 116.80 95.63
Element x y z (fractional)
Ru 0.0000 0.0000 0.0000
Ru 0.7500 0.2500 0.5000
I 0.0350 0.6250 0.9100
I 0.3750 0.2850 0.4100
I 0.7150 0.1250 0.0900
I 0.8750 0.9650 0.5900
Br 0.2500 0.7500 0.5000
Br 0.5000 0.5000 0.0000

=====

[3]
This record from the Alexandria database describes TiGeP2Cl after structural relaxation. The functional is GGA-PBE.

formation energy from raw total energies: 0.033 eV per atom
calculated total energy: -5.003 eV per atom
offset from the most stable computed form: 0.0 meV per atom
space group: No. 123

abc: 4.7989 4.7989 4.6608
angles: 90.00 90.00 90.00
Element x y z (fractional)
Ti 0.0000 0.0000 0.0000
Ge 0.5000 0.5000 0.5000
P 0.0000 0.5000 0.0000
P 0.5000 0.0000 0.0000
Cl 0.0000 0.0000 0.5000

=====

[4]
This record from the Alexandria database describes Tl2PdC2O6 after structural relaxation. The functional is GGA-PBE.

formation energy from raw total energies: -0.922 eV per atom
calculated total energy: -6.205 eV per atom
space group: No. 166

abc: 7.9955 7.9955 7.9955
angles: 37.99 37.99 37.99
Element x y z (fractional)
Tl 0.2172 0.2172 0.2172
Tl 0.7827 0.7827 0.7827
Pd 0.0000 0.0000 0.0000
C 0.3948 0.3948 0.3948
C 0.6052 0.6052 0.6052
O 0.2534 0.2534 0.6871
O 0.2534 0.6871 0.2534
O 0.3129 0.7466 0.7466
O 0.6871 0.2534 0.2534
O 0.7466 0.3129 0.7466
O 0.7466 0.7466 0.3129

=====

[5]
This record from the Alexandria database describes HfTlNi3 after structural relaxation. The functional is GGA-PBE.

calculated total energy: -4.812 eV per atom
offset from the most stable computed form: 160.9 meV per atom
E_form: 1.121 eV per atom
space group: No. 221

abc: 4.6304 4.6304 4.6304
angles: 90.00 90.00 90.00
Element x y z (fractional)
Hf 0.0000 0.0000 0.0000
Tl 0.5000 0.5000 0.5000
Ni 0.0000 0.5000 0.5000
Ni 0.5000 0.0000 0.5000
Ni 0.5000 0.5000 0.0000

=====

[6]
This record from the Alexandria database describes Tb5Pr2Y2 after structural relaxation. The functional is GGA-PBE.

calculated total energy: -4.870 eV per atom
offset from the most stable computed form: 0.0 meV per atom
E_form: 0.201 eV per atom
space group: No. 46

abc: 10.1623 10.1623 10.1623
angles: 84.92 108.03 141.17
Element x y z (fractional)
Tb 0.2444 0.0524 0.2968
Tb 0.2444 0.4476 0.6920
Tb 0.4371 0.4439 0.4932
Tb 0.4566 0.0472 0.1243
Tb 0.4566 0.8323 0.9094
Tb 0.7556 0.5524 0.3080
Tb 0.7556 0.9476 0.7032
Tb 0.9229 0.3323 0.8757
Tb 0.9229 0.5472 0.0906
Tb 0.9507 0.9439 0.5068
Pr 0.8087 0.3087 0.5000
Pr 0.8087 0.8087 0.0000
Pr 0.8858 0.1425 0.2433
Pr 0.8992 0.6425 0.7567
Y 0.3476 0.2233 0.8724
Y 0.3476 0.9752 0.6243
Y 0.3509 0.4752 0.1276
Y 0.3509 0.7233 0.3757